A plane-wave DFT calculation with PBE-GGA was carried out for an optimized crystal structure of AlSO2F.

abc: 3.817 3.817 3.555
angles: 90.00 90.00 90.00
Fractional coordinates of all 5 atoms:
S  0.500  0.500  0.500
Al  0.000  0.000  0.000
O  0.000  0.500  0.000
O  0.500  0.000  0.000
F  0.000  0.000  0.500

## Properties
Uncorrected formation energy (eV per atom): -1.2278
Fermi-level density of states (states/eV/atom): 0.577

***

A plane-wave DFT calculation with PBE-GGA was carried out for an optimized crystal structure of AlSOF2.

abc: 3.569 3.569 4.339
angles: 90.00 90.00 90.00
Fractional coordinates of all 5 atoms:
S  0.500  0.500  0.500
Al  0.000  0.000  0.000
O  0.000  0.000  0.500
F  0.000  0.500  0.000
F  0.500  0.000  0.000

## Properties
Uncorrected formation energy (eV per atom): -1.5810
Fermi-level density of states (states/eV/atom): 0.427

***

A plane-wave DFT calculation with PBE-GGA was carried out for an optimized crystal structure of AlSOF2.

abc: 4.615 4.615 3.448
angles: 90.00 90.00 90.00
Fractional coordinates of all 5 atoms:
S  0.000  0.000  0.000
Al  0.500  0.500  0.500
O  0.000  0.000  0.500
F  0.000  0.500  0.000
F  0.500  0.000  0.000

## Properties
Uncorrected formation energy (eV per atom): -0.5813
Fermi-level density of states (states/eV/atom): 0.245

***

DFT total energy for every record listed, in sequence, given in eV per cell: -25.8, -24.5, -19.5.